1.
{
  "formula": "KS2O6",
  "functional": "PBE",
  "state": "relaxed",
  "lattice_angstrom": [[3.034, 1.752, 6.045], [-3.034, 1.752, 6.045], [0.000, -3.503, 6.045]],
  "species": ["K", "S", "S", "O", "O", "O", "O", "O", "O"],
  "fractional_positions": [[0.000, 0.000, 0.000], [0.243, 0.243, 0.243], [0.381, 0.381, 0.381], [0.093, 0.093, 0.503], [0.093, 0.503, 0.093], [0.119, 0.530, 0.530], [0.503, 0.093, 0.093], [0.530, 0.119, 0.530], [0.530, 0.530, 0.119]],
  "de_polymorph_ev_per_atom": 0.011,
  "e_form_raw_mev_per_atom": -1270,
  "rho_kg_m3": 1716,
  "spacegroup": "R3m (160)"
}

***

2.
{
  "formula": "K3S2O8",
  "functional": "PBE",
  "state": "relaxed",
  "lattice_angstrom": [[7.442, -2.931, 0.000], [7.442, 2.931, 0.000], [-2.455, 0.000, 9.538]],
  "species": ["K", "K", "K", "K", "K", "K", "S", "S", "S", "S", "O", "O", "O", "O", "O", "O", "O", "O", "O", "O", "O", "O", "O", "O", "O", "O"],
  "fractional_positions": [[0.089, 0.539, 0.348], [0.229, 0.771, 0.750], [0.461, 0.911, 0.152], [0.539, 0.089, 0.848], [0.771, 0.229, 0.250], [0.911, 0.461, 0.652], [0.108, 0.666, 0.033], [0.334, 0.892, 0.467], [0.666, 0.108, 0.533], [0.892, 0.334, 0.967], [0.089, 0.608, 0.880], [0.130, 0.178, 0.909], [0.178, 0.130, 0.409], [0.179, 0.803, 0.063], [0.197, 0.821, 0.437], [0.311, 0.437, 0.106], [0.392, 0.911, 0.620], [0.437, 0.311, 0.606], [0.563, 0.689, 0.394], [0.608, 0.089, 0.380], [0.689, 0.563, 0.894], [0.803, 0.179, 0.563], [0.821, 0.197, 0.937], [0.822, 0.870, 0.591], [0.870, 0.822, 0.091], [0.911, 0.392, 0.120]],
  "de_polymorph_ev_per_atom": 0.000,
  "e_form_raw_mev_per_atom": -1685,
  "rho_kg_m3": 2469,
  "spacegroup": "C2/c (15)"
}

***

3.
{
  "formula": "K2SO4",
  "functional": "PBE",
  "state": "relaxed",
  "lattice_angstrom": [[5.537, 0.000, 0.000], [-2.769, 4.795, 0.000], [0.000, 0.000, 9.650]],
  "species": ["K", "K", "K", "K", "S", "S", "O", "O", "O", "O", "O", "O", "O", "O"],
  "fractional_positions": [[0.000, 0.000, 0.000], [0.000, 0.000, 0.500], [0.333, 0.667, 0.091], [0.667, 0.333, 0.909], [0.333, 0.667, 0.719], [0.667, 0.333, 0.281], [0.130, 0.260, 0.239], [0.130, 0.870, 0.239], [0.260, 0.130, 0.761], [0.333, 0.667, 0.567], [0.667, 0.333, 0.433], [0.740, 0.870, 0.239], [0.870, 0.130, 0.761], [0.870, 0.740, 0.761]],
  "de_polymorph_ev_per_atom": 1.813,
  "e_form_raw_mev_per_atom": -68,
  "rho_kg_m3": 2258,
  "spacegroup": "P-3m1 (164)"
}

***

4.
{
  "formula": "K2SO",
  "functional": "PBE",
  "state": "relaxed",
  "lattice_angstrom": [[-5.166, 5.166, 2.094], [5.166, -5.166, 2.094], [5.166, 5.166, -2.094]],
  "species": ["K", "K", "K", "K", "S", "S", "O", "O"],
  "fractional_positions": [[0.375, 0.152, 0.277], [0.848, 0.125, 0.223], [0.875, 0.098, 0.723], [0.902, 0.625, 0.777], [0.250, 0.750, 0.500], [0.500, 0.500, 0.000], [0.000, 0.000, 0.000], [0.750, 0.250, 0.500]],
  "de_polymorph_ev_per_atom": 0.000,
  "e_form_raw_mev_per_atom": -746,
  "rho_kg_m3": 1875,
  "spacegroup": "I-42d (122)"
}

***

5.
{
  "formula": "KS2O",
  "functional": "PBE",
  "state": "relaxed",
  "lattice_angstrom": [[2.643, 1.526, 5.513], [-2.643, 1.526, 5.513], [0.000, -3.052, 5.513]],
  "species": ["K", "S", "S", "O"],
  "fractional_positions": [[0.000, 0.000, 0.000], [0.401, 0.401, 0.401], [0.599, 0.599, 0.599], [0.500, 0.500, 0.500]],
  "e_form_raw_mev_per_atom": -127,
  "rho_kg_m3": 1484,
  "spacegroup": "R-3m (166)"
}

***

6.
{
  "formula": "K3S2O7",
  "functional": "PBE",
  "state": "relaxed",
  "lattice_angstrom": [[1.909, -11.453, 0.000], [1.909, 11.453, 0.000], [0.000, 0.000, 3.748]],
  "species": ["K", "K", "K", "S", "S", "O", "O", "O", "O", "O", "O", "O"],
  "fractional_positions": [[0.000, 0.000, 0.000], [0.181, 0.819, 0.000], [0.819, 0.181, 0.000], [0.392, 0.608, 0.500], [0.608, 0.392, 0.500], [0.095, 0.905, 0.500], [0.325, 0.675, 0.500], [0.407, 0.593, 0.000], [0.500, 0.500, 0.500], [0.593, 0.407, 0.000], [0.675, 0.325, 0.500], [0.905, 0.095, 0.500]],
  "e_form_raw_mev_per_atom": -775,
  "rho_kg_m3": 2973,
  "spacegroup": "Cmmm (65)"
}

***

7.
{
  "formula": "KSO4",
  "functional": "PBE",
  "state": "relaxed",
  "lattice_angstrom": [[4.854, 0.000, 0.000], [0.576, 5.092, 0.000], [2.118, 0.444, 4.714]],
  "species": ["K", "S", "O", "O", "O", "O"],
  "fractional_positions": [[0.000, 0.000, 0.000], [0.284, 0.537, 0.442], [0.109, 0.522, 0.753], [0.408, 0.798, 0.317], [0.613, 0.180, 0.703], [0.680, 0.320, 0.459]],
  "e_form_raw_mev_per_atom": -1059,
  "rho_kg_m3": 1926,
  "spacegroup": "P1 (1)"
}

***

8.
{
  "formula": "K2SO4",
  "functional": "PBE",
  "state": "relaxed",
  "lattice_angstrom": [[5.966, -3.034, 0.000], [5.966, 3.034, 0.000], [-0.373, 0.000, 7.343]],
  "species": ["K", "K", "K", "K", "S", "S", "O", "O", "O", "O", "O", "O", "O", "O"],
  "fractional_positions": [[0.000, 0.000, 0.000], [0.320, 0.351, 0.839], [0.649, 0.680, 0.161], [0.967, 0.033, 0.500], [0.261, 0.351, 0.319], [0.649, 0.739, 0.681], [0.108, 0.592, 0.220], [0.175, 0.192, 0.263], [0.408, 0.892, 0.780], [0.530, 0.181, 0.205], [0.656, 0.301, 0.232], [0.699, 0.344, 0.768], [0.808, 0.825, 0.737], [0.819, 0.470, 0.795]],
  "de_polymorph_ev_per_atom": 0.589,
  "e_form_raw_mev_per_atom": -1292,
  "rho_kg_m3": 2177,
  "spacegroup": "C2 (5)"
}

***

9.
{
  "formula": "KS4O12",
  "functional": "PBE",
  "state": "relaxed",
  "lattice_angstrom": [[-3.406, 3.406, 3.406], [3.406, -3.406, 3.406], [3.406, 3.406, -3.406]],
  "species": ["K", "S", "S", "S", "S", "O", "O", "O", "O", "O", "O", "O", "O", "O", "O", "O", "O"],
  "fractional_positions": [[0.000, 0.000, 0.000], [0.000, 0.000, 0.500], [0.000, 0.500, 0.000], [0.500, 0.000, 0.000], [0.500, 0.500, 0.500], [0.105, 0.305, 0.800], [0.200, 0.505, 0.305], [0.200, 0.895, 0.695], [0.305, 0.200, 0.505], [0.305, 0.800, 0.105], [0.495, 0.695, 0.800], [0.505, 0.305, 0.200], [0.695, 0.200, 0.895], [0.695, 0.800, 0.495], [0.800, 0.105, 0.305], [0.800, 0.495, 0.695], [0.895, 0.695, 0.200]],
  "e_form_raw_mev_per_atom": -77,
  "rho_kg_m3": 3775,
  "spacegroup": "Im-3 (204)"
}

***

10.
{
  "formula": "K2SO4",
  "functional": "PBE",
  "state": "relaxed",
  "lattice_angstrom": [[3.003, -5.031, 0.000], [3.003, 5.031, 0.000], [0.000, 0.000, 7.982]],
  "species": ["K", "K", "K", "K", "S", "S", "O", "O", "O", "O", "O", "O", "O", "O"],
  "fractional_positions": [[0.000, 0.000, 0.000], [0.000, 0.000, 0.500], [0.312, 0.688, 0.750], [0.688, 0.312, 0.250], [0.347, 0.653, 0.250], [0.653, 0.347, 0.750], [0.231, 0.362, 0.250], [0.262, 0.738, 0.098], [0.262, 0.738, 0.402], [0.362, 0.231, 0.750], [0.638, 0.769, 0.250], [0.738, 0.262, 0.598], [0.738, 0.262, 0.902], [0.769, 0.638, 0.750]],
  "de_polymorph_ev_per_atom": 0.010,
  "e_form_raw_mev_per_atom": -1871,
  "rho_kg_m3": 2400,
  "spacegroup": "Cmcm (63)"
}

***

11.
{
  "formula": "K2SO",
  "functional": "PBE",
  "state": "relaxed",
  "lattice_angstrom": [[0.000, 3.650, 3.650], [3.650, 0.000, 3.650], [3.650, 3.650, 0.000]],
  "species": ["K", "K", "S", "O"],
  "fractional_positions": [[0.250, 0.250, 0.250], [0.750, 0.750, 0.750], [0.000, 0.000, 0.000], [0.500, 0.500, 0.500]],
  "de_polymorph_ev_per_atom": 0.271,
  "e_form_raw_mev_per_atom": -475,
  "rho_kg_m3": 2156,
  "spacegroup": "Fm-3m (225)"
}

***

12.
{
  "formula": "KSO4",
  "functional": "PBE",
  "state": "relaxed",
  "lattice_angstrom": [[5.285, 0.000, 0.000], [-0.058, 5.419, 0.000], [-2.087, -1.947, 7.017]],
  "species": ["K", "K", "S", "S", "O", "O", "O", "O", "O", "O", "O", "O"],
  "fractional_positions": [[0.161, 0.329, 0.250], [0.839, 0.671, 0.750], [0.303, 0.211, 0.768], [0.697, 0.789, 0.232], [0.078, 0.187, 0.841], [0.260, 0.370, 0.635], [0.433, 0.981, 0.720], [0.450, 0.625, 0.041], [0.550, 0.375, 0.959], [0.567, 0.019, 0.280], [0.740, 0.630, 0.365], [0.922, 0.813, 0.159]],
  "e_form_raw_mev_per_atom": -1470,
  "rho_kg_m3": 2234,
  "spacegroup": "P-1 (2)"
}

***

13.
{
  "formula": "K2S2O5",
  "functional": "PBE",
  "state": "relaxed",
  "lattice_angstrom": [[6.950, 0.000, 0.000], [0.000, 7.582, 0.000], [-2.634, 0.000, 6.766]],
  "species": ["K", "K", "K", "K", "S", "S", "S", "S", "O", "O", "O", "O", "O", "O", "O", "O", "O", "O"],
  "fractional_positions": [[0.178, 0.250, 0.049], [0.209, 0.750, 0.504], [0.791, 0.250, 0.496], [0.822, 0.750, 0.951], [0.332, 0.250, 0.644], [0.354, 0.750, 0.089], [0.646, 0.250, 0.911], [0.668, 0.750, 0.356], [0.220, 0.089, 0.667], [0.220, 0.411, 0.667], [0.251, 0.589, 0.131], [0.251, 0.911, 0.131], [0.380, 0.250, 0.461], [0.620, 0.750, 0.539], [0.749, 0.089, 0.869], [0.749, 0.411, 0.869], [0.780, 0.589, 0.333], [0.780, 0.911, 0.333]],
  "de_polymorph_ev_per_atom": 0.034,
  "e_form_raw_mev_per_atom": -1561,
  "rho_kg_m3": 2071,
  "spacegroup": "P2_1/m (11)"
}

***

14.
{
  "formula": "K6S2O",
  "functional": "PBE",
  "state": "relaxed",
  "lattice_angstrom": [[7.101, 0.000, 0.000], [0.000, 8.338, 0.000], [-6.571, 0.000, 10.005]],
  "species": ["K", "K", "K", "K", "K", "K", "K", "K", "K", "K", "K", "K", "S", "S", "S", "S", "O", "O"],
  "fractional_positions": [[0.122, 0.045, 0.239], [0.122, 0.455, 0.739], [0.198, 0.714, 0.060], [0.198, 0.786, 0.560], [0.358, 0.143, 0.057], [0.358, 0.357, 0.557], [0.642, 0.643, 0.443], [0.642, 0.857, 0.943], [0.802, 0.214, 0.440], [0.802, 0.286, 0.940], [0.878, 0.545, 0.261], [0.878, 0.955, 0.761], [0.275, 0.101, 0.742], [0.275, 0.399, 0.242], [0.725, 0.601, 0.758], [0.725, 0.899, 0.258], [0.000, 0.000, 0.000], [0.000, 0.500, 0.500]],
  "de_polymorph_ev_per_atom": 0.000,
  "e_form_raw_mev_per_atom": -1003,
  "rho_kg_m3": 1764,
  "spacegroup": "P2_1/c (14)"
}

***

15.
{
  "formula": "K3S2O8",
  "functional": "PBE",
  "state": "relaxed",
  "lattice_angstrom": [[2.883, 1.664, 7.139], [-2.883, 1.664, 7.139], [0.000, -3.329, 7.139]],
  "species": ["K", "K", "K", "S", "S", "O", "O", "O", "O", "O", "O", "O", "O"],
  "fractional_positions": [[0.000, 0.000, 0.000], [0.207, 0.207, 0.207], [0.793, 0.793, 0.793], [0.408, 0.408, 0.408], [0.592, 0.592, 0.592], [0.287, 0.711, 0.711], [0.289, 0.289, 0.713], [0.289, 0.713, 0.289], [0.338, 0.338, 0.338], [0.662, 0.662, 0.662], [0.711, 0.287, 0.711], [0.711, 0.711, 0.287], [0.713, 0.289, 0.289]],
  "de_polymorph_ev_per_atom": 0.004,
  "e_form_raw_mev_per_atom": -1681,
  "rho_kg_m3": 2500,
  "spacegroup": "R-3m (166)"
}

***

16.
{
  "formula": "K6SO2",
  "functional": "PBE",
  "state": "relaxed",
  "lattice_angstrom": [[6.801, -2.597, 0.000], [6.801, 2.597, 0.000], [-4.761, 0.000, 8.295]],
  "species": ["K", "K", "K", "K", "K", "K", "S", "O", "O"],
  "fractional_positions": [[0.018, 0.018, 0.179], [0.268, 0.268, 0.903], [0.345, 0.345, 0.387], [0.655, 0.655, 0.613], [0.732, 0.732, 0.097], [0.982, 0.982, 0.821], [0.000, 0.000, 0.500], [0.176, 0.176, 0.099], [0.824, 0.824, 0.901]],
  "e_form_raw_mev_per_atom": -1011,
  "rho_kg_m3": 1692,
  "spacegroup": "C2/m (12)"
}

***

17.
{
  "formula": "KS2O4",
  "functional": "PBE",
  "state": "relaxed",
  "lattice_angstrom": [[3.422, -3.357, 0.000], [3.422, 3.357, 0.000], [-1.532, 0.000, 6.660]],
  "species": ["K", "S", "S", "O", "O", "O", "O"],
  "fractional_positions": [[0.000, 0.000, 0.000], [0.490, 0.490, 0.696], [0.510, 0.510, 0.304], [0.214, 0.583, 0.227], [0.417, 0.786, 0.773], [0.583, 0.214, 0.227], [0.786, 0.417, 0.773]],
  "e_form_raw_mev_per_atom": -1328,
  "rho_kg_m3": 1815,
  "spacegroup": "C2/m (12)"
}

***

18.
{
  "formula": "K2SO4",
  "functional": "PBE",
  "state": "relaxed",
  "lattice_angstrom": [[-1.935, 1.935, 6.307], [1.935, -1.935, 6.307], [1.935, 1.935, -6.307]],
  "species": ["K", "K", "S", "O", "O", "O", "O"],
  "fractional_positions": [[0.146, 0.146, 0.000], [0.854, 0.854, 0.000], [0.500, 0.500, 0.000], [0.000, 0.500, 0.500], [0.378, 0.378, 0.000], [0.500, 0.000, 0.500], [0.622, 0.622, 0.000]],
  "de_polymorph_ev_per_atom": 0.939,
  "e_form_raw_mev_per_atom": -942,
  "rho_kg_m3": 3063,
  "spacegroup": "I4/mmm (139)"
}

***

19.
{
  "formula": "K2SO5",
  "functional": "PBE",
  "state": "relaxed",
  "lattice_angstrom": [[1.942, -6.362, 0.000], [1.942, 6.362, 0.000], [0.000, 0.000, 11.039]],
  "species": ["K", "K", "K", "K", "S", "S", "O", "O", "O", "O", "O", "O", "O", "O", "O", "O"],
  "fractional_positions": [[0.137, 0.863, 0.581], [0.137, 0.863, 0.919], [0.863, 0.137, 0.081], [0.863, 0.137, 0.419], [0.148, 0.852, 0.250], [0.852, 0.148, 0.750], [0.061, 0.939, 0.149], [0.061, 0.939, 0.351], [0.236, 0.764, 0.148], [0.236, 0.764, 0.352], [0.344, 0.656, 0.750], [0.656, 0.344, 0.250], [0.764, 0.236, 0.648], [0.764, 0.236, 0.852], [0.939, 0.061, 0.649], [0.939, 0.061, 0.851]],
  "e_form_raw_mev_per_atom": -900,
  "rho_kg_m3": 2317,
  "spacegroup": "Cmcm (63)"
}

***

20.
{
  "formula": "K4SO5",
  "functional": "PBE",
  "state": "relaxed",
  "lattice_angstrom": [[-3.966, 3.966, 2.737], [3.966, -3.966, 2.737], [3.966, 3.966, -2.737]],
  "species": ["K", "K", "K", "K", "S", "O", "O", "O", "O", "O"],
  "fractional_positions": [[0.108, 0.711, 0.819], [0.289, 0.108, 0.396], [0.711, 0.892, 0.604], [0.892, 0.289, 0.181], [0.460, 0.460, 0.000], [0.177, 0.177, 0.000], [0.325, 0.464, 0.743], [0.464, 0.721, 0.139], [0.582, 0.325, 0.861], [0.721, 0.582, 0.257]],
  "e_form_raw_mev_per_atom": -1365,
  "rho_kg_m3": 2588,
  "spacegroup": "I4 (79)"
}